Entry 1:
Material: Ac14YTh
Method: DFT, PBE
State: optimized geometry

Calculated values
Space-group type: Amm2 (38)
ΔE_f, meV/atom: 50

Structure (POSCAR):
```
Ac14YTh
1.0
7.790 1.045 0.000
-1.045 7.790 0.000
0.000 0.000 11.232
Ac Th Y
14 1 1
direct
0.122 0.372 0.241
0.376 0.126 0.000
0.122 0.372 0.759
0.628 0.372 0.242
0.628 0.372 0.758
0.875 0.125 0.500
0.122 0.878 0.759
0.628 0.878 0.759
0.876 0.625 0.500
0.874 0.624 0.000
0.375 0.124 0.500
0.628 0.878 0.241
0.375 0.625 0.500
0.122 0.878 0.241
0.875 0.125 0.000
0.375 0.625 0.000
```


Entry 2:
Material: CsRePtPb2
Method: DFT, PBE
State: optimized geometry

Calculated values
Space-group type: P4/mmm (123)
ΔE_f, meV/atom: 987

Structure (POSCAR):
```
CsRePtPb2
1.0
5.506 0.000 0.000
0.000 5.409 0.000
0.000 0.000 5.506
Pt Pb Re Cs
1 2 1 1
direct
0.000 0.000 0.000
0.500 0.000 0.000
0.000 0.000 0.500
0.000 0.500 0.000
0.500 0.500 0.500
```


Entry 3:
Material: KBa2Np3Se8
Method: DFT, PBE
State: optimized geometry

Calculated values
Formation energy without anion corrections, eV per formula unit: -18.94
Space-group type: R3m (160)

Structure (POSCAR):
```
KBa2Np3Se8
1.0
8.728 0.000 0.000
4.364 7.558 0.000
4.364 2.519 7.717
K Se Np Ba
1 8 3 2
direct
0.869 0.869 0.392
0.752 0.299 0.197
0.752 0.752 0.197
0.299 0.752 0.197
0.267 0.267 0.198
0.250 0.250 0.802
0.730 0.730 0.810
0.699 0.250 0.802
0.250 0.699 0.802
0.501 0.501 0.003
0.995 0.501 0.003
0.501 0.995 0.003
0.127 0.127 0.620
0.501 0.501 0.497
```


Entry 4:
Material: Ta2CoH
Method: DFT, PBE
State: optimized geometry

Calculated values
Space-group type: Fm-3m (225)

Structure (POSCAR):
```
Ta2CoH
1.0
3.941 -0.415 1.369
0.732 -1.065 3.989
1.513 -3.803 0.910
Ta Co H
2 1 1
direct
0.750 0.750 0.750
0.250 0.250 0.250
0.500 0.500 0.500
0.000 0.000 0.000
```


Number 1: raw total energy -4.4127 eV/atom, calculated volume 694 Å³ per cell. Number 2: raw total energy -4.3644 eV/atom, calculated volume 164 Å³ per cell. Number 3: raw total energy -6.4704 eV/atom, calculated volume 509 Å³ per cell. Number 4: raw total energy -8.2518 eV/atom, calculated volume 52 Å³ per cell.